(1)
! SrLi2Fe (GGA-PBE, relaxed); values from VASP
&SYSTEM
  ibrav = 0, nat = 4, ntyp = 3
/
ATOMIC_SPECIES
Sr 87.62 Sr.upf
Li 6.94 Li.upf
Fe 55.84 Fe.upf
ATOMIC_POSITIONS crystal
Sr 0.000 0.000 0.000
Li 0.000 0.500 0.500
Li 0.500 0.000 0.500
Fe 0.500 0.500 0.000
CELL_PARAMETERS angstrom
3.027 -5.368 0.000
3.027 5.368 0.000
-1.628 0.000 2.909
! magnetic moment = 2.53 μB per cell
! energy above the lowest structure with this stoichiometry = 0.150 eV/atom
! total DFT energy (no corrections) = -11.6 eV for the cell shown
! ΔE_f = 0.581 eV per atom
! volume = 95 Å³/cell
! space group = No. 12
! DOS at the Fermi energy = 0.868 states/eV per atom

(2)
! MnSi3Os (GGA-PBE, relaxed); values from VASP
&SYSTEM
  ibrav = 0, nat = 5, ntyp = 3
/
ATOMIC_SPECIES
Mn 54.94 Mn.upf
Si 28.09 Si.upf
Os 190.23 Os.upf
ATOMIC_POSITIONS crystal
Mn 0.000 0.000 0.000
Si 0.000 0.500 0.500
Si 0.500 0.000 0.500
Si 0.500 0.500 0.000
Os 0.500 0.500 0.500
CELL_PARAMETERS angstrom
4.655 0.000 0.000
0.000 4.655 0.000
0.000 0.000 4.655
! magnetic moment = 3.52 μB per cell
! energy above the lowest structure with this stoichiometry = 0.000 eV/atom
! total DFT energy (no corrections) = -32.9 eV for the cell shown
! volume = 101 Å³/cell
! space group = No. 221
! DOS at the Fermi energy = 0.501 states/eV per atom

(3)
! LiCe4Nd3S8 (GGA-PBE, relaxed); values from VASP
&SYSTEM
  ibrav = 0, nat = 16, ntyp = 4
/
ATOMIC_SPECIES
Li 6.94 Li.upf
Ce 140.12 Ce.upf
Nd 144.24 Nd.upf
S 32.06 S.upf
ATOMIC_POSITIONS crystal
Li 0.000 0.000 0.000
Ce 0.000 0.000 0.500
Ce 0.000 0.500 0.000
Ce 0.500 0.000 0.000
Ce 0.500 0.500 0.500
Nd 0.000 0.500 0.500
Nd 0.500 0.000 0.500
Nd 0.500 0.500 0.000
S 0.242 0.755 0.755
S 0.245 0.245 0.758
S 0.245 0.758 0.245
S 0.249 0.249 0.249
S 0.751 0.751 0.751
S 0.755 0.242 0.755
S 0.755 0.755 0.242
S 0.758 0.245 0.245
CELL_PARAMETERS angstrom
4.028 2.326 6.596
-4.028 2.326 6.596
0.000 -4.652 6.596
! magnetic moment = 3.71 μB per cell
! total DFT energy (no corrections) = -104.3 eV for the cell shown
! volume = 371 Å³/cell
! space group = No. 166
! DOS at the Fermi energy = 1.504 states/eV per atom

(4)
! La2Cu2Sn3 (GGA-PBE, relaxed); values from VASP
&SYSTEM
  ibrav = 0, nat = 7, ntyp = 3
/
ATOMIC_SPECIES
La 138.91 La.upf
Cu 63.55 Cu.upf
Sn 118.71 Sn.upf
ATOMIC_POSITIONS crystal
La 0.149 0.149 0.292
La 0.851 0.851 0.708
Cu 0.153 0.153 0.755
Cu 0.847 0.847 0.245
Sn 0.383 0.383 0.054
Sn 0.500 0.500 0.500
Sn 0.617 0.617 0.946
CELL_PARAMETERS angstrom
5.446 -2.205 0.000
5.446 2.205 0.000
-2.667 0.000 7.089
! magnetic moment = 0.00 μB per cell
! energy above the lowest structure with this stoichiometry = 0.083 eV/atom
! total DFT energy (no corrections) = -33.4 eV for the cell shown
! ΔE_f = -0.482 eV per atom
! volume = 170 Å³/cell
! space group = No. 12
! DOS at the Fermi energy = 0.594 states/eV per atom

(5)
! Pt2SI (GGA-PBE, relaxed); values from VASP
&SYSTEM
  ibrav = 0, nat = 4, ntyp = 3
/
ATOMIC_SPECIES
Pt 195.08 Pt.upf
S 32.06 S.upf
I 126.90 I.upf
ATOMIC_POSITIONS crystal
Pt 0.250 0.250 0.250
Pt 0.750 0.750 0.750
S 0.000 0.000 0.000
I 0.500 0.500 0.500
CELL_PARAMETERS angstrom
0.000 3.334 3.334
3.334 0.000 3.334
3.334 3.334 0.000
! magnetic moment = 0.00 μB per cell
! energy above the lowest structure with this stoichiometry = 0.583 eV/atom
! total DFT energy (no corrections) = -14.9 eV for the cell shown
! volume = 74 Å³/cell
! space group = No. 225
! DOS at the Fermi energy = 1.251 states/eV per atom

(6)
! KNa2TcF8 (GGA-PBE, relaxed); values from VASP
&SYSTEM
  ibrav = 0, nat = 12, ntyp = 4
/
ATOMIC_SPECIES
K 39.10 K.upf
Na 22.99 Na.upf
Tc 98.00 Tc.upf
F 19.00 F.upf
ATOMIC_POSITIONS crystal
K 0.000 0.000 0.000
Na 0.500 0.245 0.500
Na 0.500 0.755 0.500
Tc 0.000 0.500 0.000
F 0.147 0.319 0.782
F 0.147 0.681 0.782
F 0.319 0.500 0.232
F 0.469 0.000 0.257
F 0.531 0.000 0.743
F 0.681 0.500 0.768
F 0.853 0.319 0.218
F 0.853 0.681 0.218
CELL_PARAMETERS angstrom
4.873 0.000 0.000
0.000 7.659 0.000
-0.137 0.000 5.146
! magnetic moment = 2.94 μB per cell
! total DFT energy (no corrections) = -57.7 eV for the cell shown
! volume = 192 Å³/cell
! space group = No. 10
! DOS at the Fermi energy = 0.900 states/eV per atom

(7)
! Na2GaHPb (GGA-PBE, relaxed); values from VASP
&SYSTEM
  ibrav = 0, nat = 5, ntyp = 4
/
ATOMIC_SPECIES
Na 22.99 Na.upf
Ga 69.72 Ga.upf
H 1.01 H.upf
Pb 207.20 Pb.upf
ATOMIC_POSITIONS crystal
Na 0.000 0.500 0.000
Na 0.500 0.000 0.000
Ga 0.000 0.000 0.500
H 0.000 0.000 0.000
Pb 0.500 0.500 0.500
CELL_PARAMETERS angstrom
4.459 0.000 0.000
0.000 4.459 0.000
0.000 0.000 5.173
! magnetic moment = 0.00 μB per cell
! energy above the lowest structure with this stoichiometry = 0.000 eV/atom
! total DFT energy (no corrections) = -12.8 eV for the cell shown
! volume = 103 Å³/cell
! space group = No. 123
! DOS at the Fermi energy = 0.557 states/eV per atom

(8)
! Dy3SbTe6 (GGA-PBE, relaxed); values from VASP
&SYSTEM
  ibrav = 0, nat = 20, ntyp = 3
/
ATOMIC_SPECIES
Dy 162.50 Dy.upf
Sb 121.76 Sb.upf
Te 127.60 Te.upf
ATOMIC_POSITIONS crystal
Dy 0.091 0.909 0.500
Dy 0.219 0.419 0.386
Dy 0.419 0.219 0.886
Dy 0.581 0.781 0.386
Dy 0.781 0.581 0.886
Dy 0.909 0.091 0.000
Sb 0.323 0.677 0.871
Sb 0.677 0.323 0.371
Te 0.062 0.598 0.662
Te 0.130 0.205 0.699
Te 0.205 0.130 0.199
Te 0.265 0.735 0.250
Te 0.402 0.938 0.662
Te 0.496 0.504 0.621
Te 0.504 0.496 0.121
Te 0.598 0.062 0.162
Te 0.735 0.265 0.750
Te 0.795 0.870 0.699
Te 0.870 0.795 0.199
Te 0.938 0.402 0.162
CELL_PARAMETERS angstrom
5.953 -7.501 0.000
5.953 7.501 0.000
0.000 0.000 7.537
! magnetic moment = 0.00 μB per cell
! total DFT energy (no corrections) = -93.5 eV for the cell shown
! volume = 673 Å³/cell
! space group = No. 36

(9)
! BaInTe2 (GGA-PBE, relaxed); values from VASP
&SYSTEM
  ibrav = 0, nat = 8, ntyp = 3
/
ATOMIC_SPECIES
Ba 137.33 Ba.upf
In 114.82 In.upf
Te 127.60 Te.upf
ATOMIC_POSITIONS crystal
Ba 0.000 0.000 0.000
Ba 0.750 0.250 0.500
In 0.250 0.750 0.500
In 0.500 0.500 0.000
Te 0.175 0.625 0.050
Te 0.375 0.425 0.550
Te 0.575 0.125 0.950
Te 0.875 0.825 0.450
CELL_PARAMETERS angstrom
-3.617 3.617 7.786
3.617 -3.617 7.786
3.617 3.617 -7.786
! magnetic moment = 0.00 μB per cell
! total DFT energy (no corrections) = -28.4 eV for the cell shown
! volume = 407 Å³/cell
! space group = No. 122
! DOS at the Fermi energy = 0.079 states/eV per atom

(10)
! NaY2Hg2 (GGA-PBE, relaxed); values from VASP
&SYSTEM
  ibrav = 0, nat = 10, ntyp = 3
/
ATOMIC_SPECIES
Na 22.99 Na.upf
Y 88.91 Y.upf
Hg 200.59 Hg.upf
ATOMIC_POSITIONS crystal
Na 0.000 0.000 0.000
Na 0.500 0.500 0.000
Y 0.140 0.360 0.000
Y 0.360 0.860 0.000
Y 0.640 0.140 0.000
Y 0.860 0.640 0.000
Hg 0.158 0.658 0.500
Hg 0.342 0.158 0.500
Hg 0.658 0.842 0.500
Hg 0.842 0.342 0.500
CELL_PARAMETERS angstrom
8.882 0.000 0.000
0.000 8.882 0.000
0.000 0.000 3.541
! magnetic moment = 0.00 μB per cell
! energy above the lowest structure with this stoichiometry = 0.093 eV/atom
! total DFT energy (no corrections) = -32.0 eV for the cell shown
! ΔE_f = -0.234 eV per atom
! volume = 279 Å³/cell
! space group = No. 127
! DOS at the Fermi energy = 0.691 states/eV per atom

(11)
! TlCrFe2 (GGA-PBE, relaxed); values from VASP
&SYSTEM
  ibrav = 0, nat = 4, ntyp = 3
/
ATOMIC_SPECIES
Tl 204.38 Tl.upf
Cr 52.00 Cr.upf
Fe 55.84 Fe.upf
ATOMIC_POSITIONS crystal
Tl 0.000 0.000 0.000
Cr 0.500 0.500 0.500
Fe 0.237 0.237 0.237
Fe 0.763 0.763 0.763
CELL_PARAMETERS angstrom
1.457 0.841 8.094
-1.457 0.841 8.094
0.000 -1.683 8.094
! magnetic moment = 2.61 μB per cell
! energy above the lowest structure with this stoichiometry = 0.209 eV/atom
! total DFT energy (no corrections) = -26.2 eV for the cell shown
! ΔE_f = 0.675 eV per atom
! volume = 60 Å³/cell
! space group = No. 166
! DOS at the Fermi energy = 0.924 states/eV per atom

(12)
! Ni2AgB (GGA-PBE, relaxed); values from VASP
&SYSTEM
  ibrav = 0, nat = 8, ntyp = 3
/
ATOMIC_SPECIES
Ni 58.69 Ni.upf
Ag 107.87 Ag.upf
B 10.81 B.upf
ATOMIC_POSITIONS crystal
Ni 0.033 0.625 0.908
Ni 0.375 0.283 0.408
Ni 0.717 0.125 0.092
Ni 0.875 0.967 0.592
Ag 0.250 0.750 0.500
Ag 0.500 0.500 0.000
B 0.000 0.000 0.000
B 0.750 0.250 0.500
CELL_PARAMETERS angstrom
-3.125 3.125 2.445
3.125 -3.125 2.445
3.125 3.125 -2.445
! magnetic moment = 0.00 μB per cell
! total DFT energy (no corrections) = -40.6 eV for the cell shown
! ΔE_f = 0.199 eV per atom
! volume = 96 Å³/cell
! space group = No. 122
! DOS at the Fermi energy = 0.284 states/eV per atom

> What is the volume in the fourth record?

170 Å³/cell

> Which formula does entry 4 have?

La2Cu2Sn3

> Which value of volume does entry 9 give?

407 Å³/cell

> The highest total DFT energy (no corrections) belongs to which entry?

SrLi2Fe